BaSiP6Ru2 (GGA-PBE, relaxed); symmetry = No. 148; E_tot = -60.733 eV for the cell shown; Fermi-level density of states = 5.264 states/eV/cell; crystal system = trigonal
1.0
3.214 1.856 6.301
-3.214 1.856 6.301
0.000 -3.711 6.301
Ba Si P Ru
1 1 6 2
direct
0.000 0.000 0.000 Ba
0.500 0.500 0.500 Si
0.118 0.554 0.548 P
0.446 0.452 0.882 P
0.452 0.882 0.446 P
0.548 0.118 0.554 P
0.554 0.548 0.118 P
0.882 0.446 0.452 P
0.314 0.314 0.314 Ru
0.686 0.686 0.686 Ru

***

BaSnPRu (GGA-PBE, relaxed); calculated formation energy = -716 meV per atom; symmetry = No. 129; E_tot = -46.950 eV for the cell shown; Fermi-level density of states = 2.232 states/eV/cell; crystal system = tetragonal
1.0
4.156 0.000 0.000
0.000 4.156 0.000
0.000 0.000 12.009
Ba Sn P Ru
2 2 2 2
direct
0.250 0.250 0.238 Ba
0.750 0.750 0.762 Ba
0.250 0.750 0.500 Sn
0.750 0.250 0.500 Sn
0.250 0.250 0.906 P
0.750 0.750 0.094 P
0.250 0.750 0.000 Ru
0.750 0.250 0.000 Ru

***

Ba2SrPRu (GGA-PBE, relaxed); calculated formation energy = -24 meV per atom; symmetry = No. 123; E_tot = -20.333 eV for the cell shown; Fermi-level density of states = 5.539 states/eV/cell; crystal system = tetragonal
1.0
6.315 0.000 0.000
0.000 6.315 0.000
0.000 0.000 4.577
Ba Sr P Ru
2 1 1 1
direct
0.000 0.500 0.000 Ba
0.500 0.000 0.000 Ba
0.000 0.000 0.500 Sr
0.500 0.500 0.500 P
0.500 0.500 0.000 Ru

***

Q: Which of these has the highest E_tot?
A: Ba2SrPRu